(1)
# GGA-PBE FeSiIrOs, optimized geometry
data_FeSiIrOs
_cell_length_a 5.960
_cell_length_b 5.960
_cell_length_c 5.960
_cell_angle_alpha 90.00
_cell_angle_beta 90.00
_cell_angle_gamma 90.00
_symmetry_space_group_name_H-M 'F -4 3 m'
_symmetry_Int_Tables_number 216
_symmetry_space_group_name_Hall 'F -4 2 3'
loop_
_atom_site_label
_atom_site_type_symbol
_atom_site_fract_x
_atom_site_fract_y
_atom_site_fract_z
Fe1 Fe 0.000 0.000 0.000
Si1 Si 0.000 0.000 0.500
Ir1 Ir 0.250 0.250 0.750
Os1 Os 0.250 0.250 0.250
# calculated volume: 13.2 Å³ per atom
# total DFT energy (no corrections): -0.3185 Ha/atom

=====

(2)
# GGA-PBE TlFeIrOs2, optimized geometry
data_TlFeIrOs2
_cell_length_a 4.879
_cell_length_b 4.879
_cell_length_c 4.608
_cell_angle_alpha 90.00
_cell_angle_beta 90.00
_cell_angle_gamma 90.00
_symmetry_space_group_name_H-M 'P 4/m m m'
_symmetry_Int_Tables_number 123
_symmetry_space_group_name_Hall '-P 4 2'
loop_
_atom_site_label
_atom_site_type_symbol
_atom_site_fract_x
_atom_site_fract_y
_atom_site_fract_z
Tl1 Tl 0.000 0.000 0.000
Fe1 Fe 0.000 0.000 0.500
Ir1 Ir 0.500 0.500 0.500
Os1 Os 0.000 0.500 0.000
# calculated volume: 21.9 Å³ per atom
# ΔH_f (0 K): 15.44 eV per formula unit

=====

(3)
# GGA-PBE V5Fe2Ir2Os, optimized geometry
data_V5Fe2Ir2Os
_cell_length_a 9.573
_cell_length_b 9.573
_cell_length_c 2.950
_cell_angle_alpha 90.00
_cell_angle_beta 90.00
_cell_angle_gamma 90.00
_symmetry_space_group_name_H-M 'P 4/m b m'
_symmetry_Int_Tables_number 127
_symmetry_space_group_name_Hall '-P 4 2ab'
loop_
_atom_site_label
_atom_site_type_symbol
_atom_site_fract_x
_atom_site_fract_y
_atom_site_fract_z
V1 V 0.000 0.500 0.000
V2 V 0.073 0.200 0.000
Fe1 Fe 0.129 0.371 0.500
Ir1 Ir 0.170 0.670 0.500
Os1 Os 0.000 0.000 0.500
# calculated volume: 13.5 Å³ per atom
# ΔH_f (0 K): -0.22 eV per formula unit

=====

(4)
# GGA-PBE Fe2PIr, optimized geometry
data_Fe2PIr
_cell_length_a 2.792
_cell_length_b 4.196
_cell_length_c 8.255
_cell_angle_alpha 90.00
_cell_angle_beta 90.00
_cell_angle_gamma 90.00
_symmetry_space_group_name_H-M 'I m m m'
_symmetry_Int_Tables_number 71
_symmetry_space_group_name_Hall '-I 2 2'
loop_
_atom_site_label
_atom_site_type_symbol
_atom_site_fract_x
_atom_site_fract_y
_atom_site_fract_z
Fe1 Fe 0.000 0.000 0.220
P1 P 0.000 0.500 0.500
Ir1 Ir 0.000 0.500 0.000
# calculated volume: 12.1 Å³ per atom
# ΔH_f (0 K): -0.62 eV per formula unit

=====

(5)
# GGA-PBE Fe2PIr, optimized geometry
data_Fe2PIr
_cell_length_a 5.042
_cell_length_b 5.042
_cell_length_c 10.479
_cell_angle_alpha 90.00
_cell_angle_beta 90.00
_cell_angle_gamma 90.00
_symmetry_space_group_name_H-M 'I -4 2 d'
_symmetry_Int_Tables_number 122
_symmetry_space_group_name_Hall 'I -4 2bw'
loop_
_atom_site_label
_atom_site_type_symbol
_atom_site_fract_x
_atom_site_fract_y
_atom_site_fract_z
Fe1 Fe 0.229 0.250 0.125
P1 P 0.000 0.000 0.000
Ir1 Ir 0.000 0.000 0.500
# calculated volume: 16.6 Å³ per atom
# ΔH_f (0 K): 2.13 eV per formula unit

=====

(6)
# GGA-PBE Fe2P2Ir, optimized geometry
data_Fe2P2Ir
_cell_length_a 6.509
_cell_length_b 6.509
_cell_length_c 2.715
_cell_angle_alpha 90.00
_cell_angle_beta 90.00
_cell_angle_gamma 90.00
_symmetry_space_group_name_H-M 'P 4/m b m'
_symmetry_Int_Tables_number 127
_symmetry_space_group_name_Hall '-P 4 2ab'
loop_
_atom_site_label
_atom_site_type_symbol
_atom_site_fract_x
_atom_site_fract_y
_atom_site_fract_z
Fe1 Fe 0.141 0.359 0.000
P1 P 0.153 0.653 0.500
Ir1 Ir 0.000 0.000 0.500
# calculated volume: 11.5 Å³ per atom
# ΔH_f (0 K): -1.11 eV per formula unit

=====

(7)
# GGA-PBE Fe2PIr, optimized geometry
data_Fe2PIr
_cell_length_a 4.804
_cell_length_b 7.576
_cell_length_c 2.757
_cell_angle_alpha 90.00
_cell_angle_beta 90.00
_cell_angle_gamma 90.00
_symmetry_space_group_name_H-M 'C m m m'
_symmetry_Int_Tables_number 65
_symmetry_space_group_name_Hall '-C 2 2'
loop_
_atom_site_label
_atom_site_type_symbol
_atom_site_fract_x
_atom_site_fract_y
_atom_site_fract_z
Fe1 Fe 0.250 0.250 0.000
P1 P 0.000 0.000 0.500
Ir1 Ir 0.000 0.500 0.500
# calculated volume: 12.5 Å³ per atom
# ΔH_f (0 K): -0.10 eV per formula unit

=====

(8)
# GGA-PBE Fe2PIr, optimized geometry
data_Fe2PIr
_cell_length_a 2.7888
_cell_length_b 2.7888
_cell_length_c 22.6803
_cell_angle_alpha 90.00
_cell_angle_beta 90.00
_cell_angle_gamma 120.00
_symmetry_space_group_name_H-M 'R 3 m'
_symmetry_Int_Tables_number 160
_symmetry_space_group_name_Hall 'R 3 -2"'
loop_
_atom_site_label
_atom_site_type_symbol
_atom_site_fract_x
_atom_site_fract_y
_atom_site_fract_z
Fe1 Fe 0.0000 0.0000 0.0000
Fe2 Fe 0.0000 0.0000 0.2498
P1 P 0.0000 0.0000 0.5096
Ir1 Ir 0.0000 0.0000 0.7600
# calculated volume: 12.7 Å³ per atom
# ΔH_f (0 K): -0.04 eV per formula unit

=====

(9)
# GGA-PBE Fe2PIr, optimized geometry
data_Fe2PIr
_cell_length_a 2.898
_cell_length_b 4.619
_cell_length_c 7.837
_cell_angle_alpha 90.00
_cell_angle_beta 90.00
_cell_angle_gamma 90.00
_symmetry_space_group_name_H-M 'C m m 2'
_symmetry_Int_Tables_number 35
_symmetry_space_group_name_Hall 'C 2 -2'
loop_
_atom_site_label
_atom_site_type_symbol
_atom_site_fract_x
_atom_site_fract_y
_atom_site_fract_z
Fe1 Fe 0.000 0.000 0.000
Fe2 Fe 0.000 0.500 0.249
P1 P 0.000 0.500 0.775
Ir1 Ir 0.000 0.000 0.527
# calculated volume: 13.1 Å³ per atom
# ΔH_f (0 K): 0.70 eV per formula unit

=====

(10)
# GGA-PBE FePIr, optimized geometry
data_FePIr
_cell_length_a 6.865
_cell_length_b 3.574
_cell_length_c 4.572
_cell_angle_alpha 90.00
_cell_angle_beta 130.25
_cell_angle_gamma 90.00
_symmetry_space_group_name_H-M 'C 1 m 1'
_symmetry_Int_Tables_number 8
_symmetry_space_group_name_Hall 'C -2y'
loop_
_atom_site_label
_atom_site_type_symbol
_atom_site_fract_x
_atom_site_fract_y
_atom_site_fract_z
Fe1 Fe 0.000 0.000 0.000
P1 P 0.263 0.000 0.671
Ir1 Ir 0.321 0.500 0.321
# calculated volume: 14.3 Å³ per atom
# ΔH_f (0 K): 0.23 eV per formula unit

=====

(11)
# GGA-PBE Fe2PIr2, optimized geometry
data_Fe2PIr2
_cell_length_a 3.168
_cell_length_b 3.168
_cell_length_c 13.563
_cell_angle_alpha 90.00
_cell_angle_beta 90.00
_cell_angle_gamma 90.00
_symmetry_space_group_name_H-M 'I 4/m m m'
_symmetry_Int_Tables_number 139
_symmetry_space_group_name_Hall '-I 4 2'
loop_
_atom_site_label
_atom_site_type_symbol
_atom_site_fract_x
_atom_site_fract_y
_atom_site_fract_z
Fe1 Fe 0.000 0.500 0.250
P1 P 0.000 0.000 0.000
Ir1 Ir 0.000 0.000 0.401
# calculated volume: 13.6 Å³ per atom
# ΔH_f (0 K): 1.42 eV per formula unit
# offset from the most stable computed form: 34 meV/atom

=====

(12)
# GGA-PBE Fe2PIr, optimized geometry
data_Fe2PIr
_cell_length_a 3.536
_cell_length_b 3.536
_cell_length_c 4.006
_cell_angle_alpha 90.00
_cell_angle_beta 90.00
_cell_angle_gamma 90.00
_symmetry_space_group_name_H-M 'P 4/m m m'
_symmetry_Int_Tables_number 123
_symmetry_space_group_name_Hall '-P 4 2'
loop_
_atom_site_label
_atom_site_type_symbol
_atom_site_fract_x
_atom_site_fract_y
_atom_site_fract_z
Fe1 Fe 0.000 0.500 0.000
P1 P 0.000 0.000 0.500
Ir1 Ir 0.500 0.500 0.500
# calculated volume: 12.5 Å³ per atom
# ΔH_f (0 K): -0.13 eV per formula unit

=====

(13)
# GGA-PBE FePIr, optimized geometry
data_FePIr
_cell_length_a 2.801
_cell_length_b 4.792
_cell_length_c 11.995
_cell_angle_alpha 90.00
_cell_angle_beta 90.00
_cell_angle_gamma 90.00
_symmetry_space_group_name_H-M 'F m m 2'
_symmetry_Int_Tables_number 42
_symmetry_space_group_name_Hall 'F 2 -2'
loop_
_atom_site_label
_atom_site_type_symbol
_atom_site_fract_x
_atom_site_fract_y
_atom_site_fract_z
Fe1 Fe 0.000 0.000 0.000
P1 P 0.000 0.000 0.649
Ir1 Ir 0.000 0.000 0.314
# calculated volume: 13.4 Å³ per atom
# ΔH_f (0 K): 0.63 eV per formula unit